VASP calculation (PBE) on a relaxed Ce2Al4GaPd3 crystal.

Unit cell a=4.303 b=4.303 c=10.443 alpha=90.00 beta=90.00 gamma=90.00
Space group P-4m2 (No. 115)
Symmetry-distinct sites (fractional):
Ce (0.000, 0.500, 0.249)
Al (0.000, 0.000, 0.500)
Al (0.000, 0.500, 0.864)
Al (0.500, 0.500, 0.500)
Ga (0.500, 0.500, 0.000)
Pd (0.000, 0.000, 0.000)
Pd (0.000, 0.500, 0.629)

Properties
- volume (Å³ per cell) = 193.4
- total moment (Bohr magnetons per cell) = 1.34
- N(E_F) (states/eV per atom) = 1.4569
- formation energy from the elements (eV/atom) = -0.735